1.
TaSe3 | Alexandria via LeMat-Bulk | PBE-GGA | optimized geometry; symmetry = No. 65
1.0
2.5125 -4.5642 0.0000
2.5125 4.5642 0.0000
0.0000 0.0000 3.5669
Ta Se
1 3
Direct
0.0000 0.0000 0.0000
0.0000 0.5000 0.5000
0.5000 0.0000 0.5000
0.5000 0.5000 0.0000

2.
TaSe3 | Alexandria via LeMat-Bulk | PBE-GGA | optimized geometry; symmetry = No. 223
1.0
5.2984 0.0000 0.0000
0.0000 5.2984 0.0000
0.0000 0.0000 5.2984
Ta Se
2 6
Direct
0.0000 0.0000 0.0000
0.5000 0.5000 0.5000
0.0000 0.2500 0.5000
0.0000 0.7500 0.5000
0.2500 0.5000 0.0000
0.5000 0.0000 0.2500
0.5000 0.0000 0.7500
0.7500 0.5000 0.0000

3.
TaSe2 | Alexandria via LeMat-Bulk | PBE-GGA | optimized geometry; symmetry = No. 191
1.0
4.6581 0.0000 0.0000
-2.3290 4.0340 0.0000
0.0000 0.0000 3.0088
Ta Se
1 2
Direct
0.0000 0.0000 0.0000
0.3333 0.6667 0.5000
0.6667 0.3333 0.5000

4.
Ta2Se | Alexandria via LeMat-Bulk | PBE-GGA | optimized geometry; symmetry = No. 123
1.0
4.3112 0.0000 0.0000
0.0000 4.3112 0.0000
0.0000 0.0000 3.1176
Ta Se
2 1
Direct
0.0000 0.5000 0.0000
0.5000 0.0000 0.0000
0.0000 0.0000 0.5000

5.
Ta5Se | Alexandria via LeMat-Bulk | PBE-GGA | optimized geometry; symmetry = No. 216; relative energy among the computed polymorphs = 544 meV/atom
1.0
0.0000 3.8652 3.8652
3.8652 0.0000 3.8652
3.8652 3.8652 0.0000
Ta Se
5 1
Direct
0.0000 0.0000 0.0000
0.1223 0.6259 0.6259
0.6259 0.1223 0.6259
0.6259 0.6259 0.1223
0.6259 0.6259 0.6259
0.2500 0.2500 0.2500

6.
Ta3Se | Alexandria via LeMat-Bulk | PBE-GGA | optimized geometry; symmetry = No. 166; relative energy among the computed polymorphs = 67 meV/atom
1.0
1.6289 0.9404 8.1146
-1.6289 0.9404 8.1146
0.0000 -1.8809 8.1146
Ta Se
3 1
Direct
0.0000 0.0000 0.0000
0.2465 0.2465 0.2465
0.7535 0.7535 0.7535
0.5000 0.5000 0.5000

7.
Ta3Se | Alexandria via LeMat-Bulk | PBE-GGA | optimized geometry; symmetry = No. 65; relative energy among the computed polymorphs = 101 meV/atom
1.0
2.9199 -3.7172 0.0000
2.9199 3.7172 0.0000
0.0000 0.0000 3.2809
Ta Se
3 1
Direct
0.0000 0.0000 0.0000
0.0000 0.5000 0.5000
0.5000 0.0000 0.5000
0.5000 0.5000 0.0000

8.
TaSe3 | Alexandria via LeMat-Bulk | PBE-GGA | optimized geometry; symmetry = No. 25
1.0
3.6313 0.0000 0.0000
0.0000 4.0671 0.0000
0.0000 0.0000 6.9854
Ta Se
1 3
Direct
0.0000 0.0000 0.0000
0.0000 0.5000 0.7617
0.5000 0.0000 0.7350
0.5000 0.5000 0.1764

| no. | VASP energy (eV per atom) | formation energy from raw total energies (eV per atom) |
| --- | --- | --- |
| 1 | -5.25 | 0.33 |
| 2 | -5.52 | 0.05 |
| 3 | -5.67 | 0.60 |
| 4 | -8.51 | 0.55 |
| 5 | -9.94 | 0.52 |
| 6 | -9.72 | 0.05 |
| 7 | -9.68 | 0.08 |
| 8 | -5.68 | -0.11 |